[1]
# HoScHg, optimized geometry, DFT GGA-PBE
data_HoScHg
_space_group_name_H-M_alt 'F -4 3 m'
_space_group_IT_number 216
_space_group_name_Hall 'F -4 2 3'
_cell_length_a 6.971
_cell_length_b 6.971
_cell_length_c 6.971
_cell_angle_alpha 90.00
_cell_angle_beta 90.00
_cell_angle_gamma 90.00
loop_
_atom_site_label
_atom_site_fract_x
_atom_site_fract_y
_atom_site_fract_z
Ho1 0.000 0.000 0.000
Sc1 0.000 0.000 0.500
Hg1 0.250 0.250 0.250
# ΔE to the lowest computed polymorph	0	meV per atom
# ΔE_f	-27	kJ/mol of formula units
# total moment	0.001	μB/atom
# final energy	-11.48	eV/f.u.

***

[2]
# HoScHg6, optimized geometry, DFT GGA-PBE
data_HoScHg6
_space_group_name_H-M_alt 'P -6 m 2'
_space_group_IT_number 187
_space_group_name_Hall 'P -6 2'
_cell_length_a 6.5266
_cell_length_b 6.5266
_cell_length_c 4.9512
_cell_angle_alpha 90.00
_cell_angle_beta 90.00
_cell_angle_gamma 120.00
loop_
_atom_site_label
_atom_site_fract_x
_atom_site_fract_y
_atom_site_fract_z
Ho1 0.0000 0.0000 0.0000
Sc1 0.3333 0.6667 0.5000
Hg1 0.0083 0.5041 0.0000
Hg2 0.3343 0.1671 0.5000
# ΔE_f	-215	kJ/mol of formula units
# total moment	0.002	μB/atom
# final energy	-14.92	eV/f.u.

***

[3]
# SmHoHg4, optimized geometry, DFT GGA-PBE
data_SmHoHg4
_space_group_name_H-M_alt 'P 1 2/m 1'
_space_group_IT_number 10
_space_group_name_Hall '-P 2y'
_cell_length_a 3.416
_cell_length_b 4.953
_cell_length_c 8.599
_cell_angle_alpha 90.00
_cell_angle_beta 90.01
_cell_angle_gamma 90.00
loop_
_atom_site_label
_atom_site_fract_x
_atom_site_fract_y
_atom_site_fract_z
Sm1 0.000 0.000 0.000
Ho1 0.000 0.500 0.500
Hg1 0.497 0.000 0.665
Hg2 0.498 0.500 0.169
# ΔE_f	-230	kJ/mol of formula units
# total moment	0.003	μB/atom
# final energy	-12.87	eV/f.u.

***

[4]
# HoSnHg2, optimized geometry, DFT GGA-PBE
data_HoSnHg2
_space_group_name_H-M_alt 'P 4/m m m'
_space_group_IT_number 123
_space_group_name_Hall '-P 4 2'
_cell_length_a 4.482
_cell_length_b 4.482
_cell_length_c 4.823
_cell_angle_alpha 90.00
_cell_angle_beta 90.00
_cell_angle_gamma 90.00
loop_
_atom_site_label
_atom_site_fract_x
_atom_site_fract_y
_atom_site_fract_z
Ho1 0.000 0.000 0.000
Sn1 0.500 0.500 0.000
Hg1 0.000 0.500 0.500
# total moment	0.000	μB/atom
# final energy	-10.77	eV/f.u.

***

[5]
# HoSnHgTe3, optimized geometry, DFT GGA-PBE
data_HoSnHgTe3
_space_group_name_H-M_alt 'C m c m'
_space_group_IT_number 63
_space_group_name_Hall '-C 2c 2'
_cell_length_a 4.319
_cell_length_b 15.458
_cell_length_c 12.154
_cell_angle_alpha 90.00
_cell_angle_beta 90.00
_cell_angle_gamma 90.00
loop_
_atom_site_label
_atom_site_fract_x
_atom_site_fract_y
_atom_site_fract_z
Ho1 0.000 0.000 0.000
Sn1 0.000 0.361 0.250
Hg1 0.000 0.288 0.750
Te1 0.000 0.002 0.750
Te2 0.000 0.360 0.507
# total moment	0.001	μB/atom
# final energy	-21.91	eV/f.u.

***

[6]
# SrHoHg6, optimized geometry, DFT GGA-PBE
data_SrHoHg6
_space_group_name_H-M_alt 'P -6 m 2'
_space_group_IT_number 187
_space_group_name_Hall 'P -6 2'
_cell_length_a 6.6770
_cell_length_b 6.6770
_cell_length_c 5.0869
_cell_angle_alpha 90.00
_cell_angle_beta 90.00
_cell_angle_gamma 120.00
loop_
_atom_site_label
_atom_site_fract_x
_atom_site_fract_y
_atom_site_fract_z
Sr1 0.0000 0.0000 0.0000
Ho1 0.6667 0.3333 0.5000
Hg1 0.1738 0.3476 0.5000
Hg2 0.5011 0.0021 0.0000
# total moment	0.002	μB/atom
# final energy	-10.80	eV/f.u.

***

[7]
# TbHoHg, optimized geometry, DFT GGA-PBE
data_TbHoHg
_space_group_name_H-M_alt 'P n m a'
_space_group_IT_number 62
_space_group_name_Hall '-P 2ac 2n'
_cell_length_a 7.082
_cell_length_b 5.081
_cell_length_c 9.198
_cell_angle_alpha 90.00
_cell_angle_beta 90.00
_cell_angle_gamma 90.00
loop_
_atom_site_label
_atom_site_fract_x
_atom_site_fract_y
_atom_site_fract_z
Tb1 0.015 0.250 0.193
Ho1 0.168 0.250 0.575
Hg1 0.240 0.250 0.899
# ΔE to the lowest computed polymorph	0	meV per atom
# ΔE_f	-105	kJ/mol of formula units
# total moment	0.000	μB/atom
# final energy	-10.59	eV/f.u.

***

[8]
# TbHoHg, optimized geometry, DFT GGA-PBE
data_TbHoHg
_space_group_name_H-M_alt 'F -4 3 m'
_space_group_IT_number 216
_space_group_name_Hall 'F -4 2 3'
_cell_length_a 7.195
_cell_length_b 7.195
_cell_length_c 7.195
_cell_angle_alpha 90.00
_cell_angle_beta 90.00
_cell_angle_gamma 90.00
loop_
_atom_site_label
_atom_site_fract_x
_atom_site_fract_y
_atom_site_fract_z
Tb1 0.000 0.000 0.000
Ho1 0.000 0.000 0.500
Hg1 0.250 0.250 0.750
# ΔE to the lowest computed polymorph	249	meV per atom
# ΔE_f	-33	kJ/mol of formula units
# total moment	0.002	μB/atom
# final energy	-9.84	eV/f.u.

***

Repeat the third record exactly.
# SmHoHg4, optimized geometry, DFT GGA-PBE
data_SmHoHg4
_space_group_name_H-M_alt 'P 1 2/m 1'
_space_group_IT_number 10
_space_group_name_Hall '-P 2y'
_cell_length_a 3.416
_cell_length_b 4.953
_cell_length_c 8.599
_cell_angle_alpha 90.00
_cell_angle_beta 90.01
_cell_angle_gamma 90.00
loop_
_atom_site_label
_atom_site_fract_x
_atom_site_fract_y
_atom_site_fract_z
Sm1 0.000 0.000 0.000
Ho1 0.000 0.500 0.500
Hg1 0.497 0.000 0.665
Hg2 0.498 0.500 0.169
# ΔE_f	-230	kJ/mol of formula units
# total moment	0.003	μB/atom
# final energy	-12.87	eV/f.u.

***

What is the formula in the first record?
HoScHg

***

What is the total moment in the eighth record?
0.002 μB/atom